A relaxed structure of Tb3Tm6Cd, computed with PBE. Values from VASP.

Output
Excess energy over the best structure of this formula in the dataset ... 93.4 meV/atom
Formation enthalpy at 0 K ... 0.06 eV per atom
Space group ... Cmc2_1, No. 36
DOS(E_F) ... 25.14 states/eV per cell

Quantum ESPRESSO input file:
```
&SYSTEM
  ibrav = 0, nat = 20, ntyp = 3
/
ATOMIC_SPECIES
Tb 158.93 Tb.upf
Tm 168.93 Tm.upf
Cd 112.41 Cd.upf
CELL_PARAMETERS angstrom
-4.880 -3.050 2.123
6.570 -7.342 4.553
-3.360 8.951 5.138
ATOMIC_POSITIONS angstrom
Tb 1.871 -1.927 8.858
Tb -3.011 0.554 10.063
Tb 0.202 2.262 5.068
Tb -0.178 -2.644 6.008
Tb -5.135 -0.511 3.649
Tb -0.254 -2.992 2.444
Tm 2.306 0.267 6.570
Tm -0.936 0.057 7.678
Tm -1.378 3.277 8.364
Tm 0.104 -4.683 9.194
Tm 4.064 -7.639 5.433
Tm -3.694 2.269 6.358
Tm 2.962 -3.124 5.048
Tm -7.185 5.290 7.013
Tm -3.091 2.419 3.192
Tm -1.609 -5.542 4.023
Tm 1.218 -0.278 3.286
Tm -2.023 -0.488 4.395
Cd -1.764 4.563 5.337
Cd 0.972 -5.455 6.094
```

A relaxed structure of Ac4SnPSe2, computed with PBE. Values from VASP.

Output
Space group ... P2/m, No. 10
E_form (uncorrected) ... -1.50 eV per atom
DOS(E_F) ... 2.08 states/eV per cell

Quantum ESPRESSO input file:
```
&SYSTEM
  ibrav = 0, nat = 8, ntyp = 4
/
ATOMIC_SPECIES
Ac 227.00 Ac.upf
Sn 118.71 Sn.upf
P 30.97 P.upf
Se 78.96 Se.upf
CELL_PARAMETERS angstrom
-4.138 0.815 1.805
-2.253 -7.337 -1.853
1.658 -4.904 6.016
ATOMIC_POSITIONS angstrom
Ac -0.452 -9.119 3.079
Ac -4.279 -2.307 2.889
Ac -3.300 -6.300 1.107
Ac -1.432 -5.127 4.860
Sn -3.195 -3.261 -0.024
P -0.297 -6.121 2.082
Se 1.658 -4.904 6.016
Se -1.240 -2.045 3.910
```

A relaxed structure of Tb4Pr3Al4, computed with PBE. Values from VASP.

Output
Formation enthalpy at 0 K ... -0.19 eV per atom
Space group ... Immm, No. 71
DOS(E_F) ... 12.09 states/eV per cell

Quantum ESPRESSO input file:
```
&SYSTEM
  ibrav = 0, nat = 11, ntyp = 3
/
ATOMIC_SPECIES
Tb 158.93 Tb.upf
Pr 140.91 Pr.upf
Al 26.98 Al.upf
CELL_PARAMETERS angstrom
5.187 0.000 0.000
0.000 7.060 0.000
-2.593 -3.530 8.563
ATOMIC_POSITIONS angstrom
Tb 0.000 -1.619 5.510
Tb 2.593 1.911 3.052
Tb 2.593 5.149 3.052
Tb 0.000 1.619 5.510
Pr 0.000 0.000 1.797
Pr 2.593 3.530 6.765
Pr 0.000 3.530 0.000
Al 0.000 3.530 3.102
Al 2.593 0.000 5.461
Al 2.593 5.701 0.000
Al 2.593 1.359 0.000
```

A relaxed structure of K2AlInAu6, computed with PBE. Values from VASP.

Output
Formation enthalpy at 0 K ... -0.30 eV per atom
Space group ... P-1, No. 2
DOS(E_F) ... 3.95 states/eV per cell

Quantum ESPRESSO input file:
```
&SYSTEM
  ibrav = 0, nat = 10, ntyp = 4
/
ATOMIC_SPECIES
K 39.10 K.upf
Al 26.98 Al.upf
In 114.82 In.upf
Au 196.97 Au.upf
CELL_PARAMETERS angstrom
7.328 -0.002 0.172
-0.027 7.033 0.004
3.792 3.516 5.157
ATOMIC_POSITIONS angstrom
K 8.013 3.514 3.151
K 3.080 7.033 2.183
Al 0.000 0.000 0.000
In 3.650 3.516 0.088
Au 4.503 3.512 2.724
Au 5.950 4.953 0.666
Au 5.156 8.492 4.659
Au 5.937 2.055 0.674
Au 5.143 5.594 4.667
Au 6.590 7.036 2.609
```

A relaxed structure of LiU2Rh9, computed with PBE. Values from VASP.

Output
Formation enthalpy at 0 K ... -0.48 eV per atom
Space group ... P4/mmm, No. 123
DOS(E_F) ... 10.54 states/eV per cell

Quantum ESPRESSO input file:
```
&SYSTEM
  ibrav = 0, nat = 12, ntyp = 3
/
ATOMIC_SPECIES
Li 6.94 Li.upf
U 238.03 U.upf
Rh 102.91 Rh.upf
CELL_PARAMETERS angstrom
4.012 0.000 0.000
0.000 4.012 0.000
0.000 0.000 11.505
ATOMIC_POSITIONS angstrom
Li 0.000 0.000 0.000
U 0.000 0.000 3.701
U 0.000 0.000 7.804
Rh 2.006 2.006 0.000
Rh 2.006 2.006 3.782
Rh 2.006 2.006 7.723
Rh 2.006 0.000 1.805
Rh 2.006 0.000 5.753
Rh 2.006 0.000 9.700
Rh 0.000 2.006 1.805
Rh 0.000 2.006 5.753
Rh 0.000 2.006 9.700
```

A relaxed structure of Na4Th3AgS8, computed with PBE. Values from VASP.

Output
Space group ... C2/m, No. 12
E_form (uncorrected) ... -1.48 eV per atom
DOS(E_F) ... 6.39 states/eV per cell

Quantum ESPRESSO input file:
```
&SYSTEM
  ibrav = 0, nat = 16, ntyp = 4
/
ATOMIC_SPECIES
Na 22.99 Na.upf
Th 232.04 Th.upf
Ag 107.87 Ag.upf
S 32.06 S.upf
CELL_PARAMETERS angstrom
-2.891 4.447 6.190
-7.297 0.413 -3.704
3.418 -7.267 1.449
ATOMIC_POSITIONS angstrom
Na -1.446 2.223 3.095
Na 0.264 -1.410 3.820
Na 0.000 0.000 0.000
Na 1.709 -3.633 0.725
Th -5.094 2.430 1.243
Th -3.385 -1.204 1.968
Th -1.939 -3.427 -1.127
Ag -3.648 0.206 -1.852
S -2.708 -5.739 0.252
S -4.371 -2.218 -0.448
S -0.913 -2.458 1.339
S -4.112 -3.580 3.258
S -2.658 1.172 0.677
S -5.856 0.050 2.596
S -2.399 -0.190 4.383
S -4.062 3.332 3.684
```